(1)
# TlCoSi2 | Alexandria via LeMat-Bulk | PBE | relaxed
# E_form (uncorrected), eV per atom: 0.39
# N(E_F), states/eV/cell: 2.70
# Space group: Immm
# Offset from the most stable computed form, eV per formula unit: 1.52
data_TlCoSi2
_cell_length_a 5.9419
_cell_length_b 5.9419
_cell_length_c 5.9419
_cell_angle_alpha 153.37
_cell_angle_beta 134.24
_cell_angle_gamma 53.73
_symmetry_space_group_name_H-M 'P 1'
_symmetry_Int_Tables_number 1
loop_
_symmetry_equiv_pos_as_xyz
'x,y,z'
loop_
_atom_site_label
_atom_site_fract_x
_atom_site_fract_y
_atom_site_fract_z
Si1 0.0581 0.0581 0.0000
Si2 0.4419 0.4419 0.0000
Co1 0.2500 0.7500 0.5000
Tl1 0.7500 0.2500 0.5000

(2)
# TmCoSi | Alexandria via LeMat-Bulk | PBE | relaxed
# E_form (uncorrected), eV per atom: -0.65
# N(E_F), states/eV/cell: 2.58
# Space group: P-6m2
data_TmCoSi
_cell_length_a 3.7526
_cell_length_b 3.9862
_cell_length_c 3.9862
_cell_angle_alpha 120.00
_cell_angle_beta 90.00
_cell_angle_gamma 90.00
_symmetry_space_group_name_H-M 'P 1'
_symmetry_Int_Tables_number 1
loop_
_symmetry_equiv_pos_as_xyz
'x,y,z'
loop_
_atom_site_label
_atom_site_fract_x
_atom_site_fract_y
_atom_site_fract_z
Tm1 0.6666 0.3333 0.6667
Si1 0.1668 0.0000 0.0000
Co1 0.1666 0.6667 0.3333

(3)
# Tm2CoSi | Alexandria via LeMat-Bulk | PBE | relaxed
# E_form (uncorrected), eV per atom: -0.56
# N(E_F), states/eV/cell: 3.71
# Space group: Amm2
# Offset from the most stable computed form, eV per formula unit: 0.00
data_Tm2CoSi
_cell_length_a 3.8508
_cell_length_b 4.0563
_cell_length_c 5.5287
_cell_angle_alpha 111.52
_cell_angle_beta 90.00
_cell_angle_gamma 90.00
_symmetry_space_group_name_H-M 'P 1'
_symmetry_Int_Tables_number 1
loop_
_symmetry_equiv_pos_as_xyz
'x,y,z'
loop_
_atom_site_label
_atom_site_fract_x
_atom_site_fract_y
_atom_site_fract_z
Co1 0.5000 0.5546 0.1092
Tm1 0.5000 0.2693 0.5387
Tm2 0.0000 0.9859 0.9718
Si1 0.0000 0.6894 0.3788

Looking at V for the records above, in order, we have 16.756 17.213 20.085 A^3/atom.
Looking at final energy for the records above, in order, we have -4.694 -6.321 -5.931 eV per atom.